# 1
This record from Alexandria describes Al6SiNi after structural relaxation. The functional is PBEsol.

* E_tot: -4.22 eV per atom
* total magnetization: 0.00 μB/f.u.
* calculated volume: 17.4 Å³/atom
* uncorrected formation energy: 0.338 eV/atom

a b c (Å): 3.754 3.754 9.866
angles (deg): 90.00 90.00 90.00
Space group P4/mmm (No. 123)
One atom of each set of equivalent atoms:
1 Al 0.000 0.000 0.124 [2 per cell]
2 Al 0.000 0.500 0.318 [4 per cell]
3 Si 0.500 0.500 0.500 [1 per cell]
4 Ni 0.500 0.500 0.000 [1 per cell]

***

# 2
This record from Alexandria describes Sm4Al23Ni6 after structural relaxation. The functional is PBEsol.

* E_tot: -5.12 eV per atom
* total magnetization: 0.00 μB/f.u.
* calculated volume: 16.3 Å³/atom
* energy of formation from the pure elements: -0.528 eV/atom

a b c (Å): 15.826 4.064 18.196
angles (deg): 90.00 112.96 90.00
Space group C2/m (No. 12)
One atom of each set of equivalent atoms:
1 Sm 0.071 0.000 0.407 [4 per cell]
2 Sm 0.235 0.000 0.782 [4 per cell]
3 Al 0.000 0.500 0.500 [2 per cell]
4 Al 0.032 0.000 0.782 [4 per cell]
5 Al 0.067 0.000 0.940 [4 per cell]
6 Al 0.082 0.500 0.687 [4 per cell]
7 Al 0.090 0.500 0.050 [4 per cell]
8 Al 0.091 0.500 0.280 [4 per cell]
9 Al 0.110 0.000 0.162 [4 per cell]
10 Al 0.124 0.000 0.595 [4 per cell]
11 Al 0.144 0.500 0.858 [4 per cell]
12 Al 0.202 0.500 0.521 [4 per cell]
13 Al 0.225 0.000 0.324 [4 per cell]
14 Al 0.245 0.000 0.954 [4 per cell]
15 Ni 0.008 0.500 0.136 [4 per cell]
16 Ni 0.189 0.000 0.067 [4 per cell]
17 Ni 0.227 0.500 0.399 [4 per cell]

***

# 3
This record from Alexandria describes Al4Ni15Sn after structural relaxation. The functional is PBEsol.

* E_tot: -6.04 eV per atom
* total magnetization: 2.72 μB/f.u.
* calculated volume: 11.2 Å³/atom
* energy of formation from the pure elements: -0.393 eV/atom

a b c (Å): 3.560 3.560 17.638
angles (deg): 90.00 90.00 90.00
Space group P4/mmm (No. 123)
One atom of each set of equivalent atoms:
1 Al 0.000 0.000 0.098 [2 per cell]
2 Al 0.000 0.000 0.294 [2 per cell]
3 Ni 0.000 0.500 0.000 [2 per cell]
4 Ni 0.000 0.500 0.196 [4 per cell]
5 Ni 0.000 0.500 0.392 [4 per cell]
6 Ni 0.500 0.500 0.098 [2 per cell]
7 Ni 0.500 0.500 0.294 [2 per cell]
8 Ni 0.500 0.500 0.500 [1 per cell]
9 Sn 0.000 0.000 0.500 [1 per cell]

***

# 4
This record from Alexandria describes SrAl3Ni after structural relaxation. The functional is PBEsol.

* E_tot: -4.32 eV per atom
* total magnetization: 0.00 μB/f.u.
* calculated volume: 19.5 Å³/atom
* energy of formation from the pure elements: -0.267 eV/atom

a b c (Å): 4.605 4.605 4.605
angles (deg): 90.00 90.00 90.00
Space group Pm-3m (No. 221)
One atom of each set of equivalent atoms:
1 Sr 0.000 0.000 0.000 [1 per cell]
2 Al 0.000 0.500 0.500 [3 per cell]
3 Ni 0.500 0.500 0.500 [1 per cell]

***

# 5
This record from Alexandria describes TaAlNi6 after structural relaxation. The functional is PBEsol.

* E_tot: -7.15 eV per atom
* total magnetization: 0.00 μB/f.u.
* calculated volume: 11.4 Å³/atom
* energy of formation from the pure elements: -0.448 eV/atom

a b c (Å): 7.127 10.110 10.101
angles (deg): 90.00 90.00 90.00
Space group Cmmm (No. 65)
One atom of each set of equivalent atoms:
1 Ta 0.000 0.000 0.244 [4 per cell]
2 Ta 0.000 0.246 0.500 [4 per cell]
3 Al 0.000 0.246 0.000 [4 per cell]
4 Al 0.000 0.500 0.246 [4 per cell]
5 Ni 0.000 0.000 0.000 [2 per cell]
6 Ni 0.000 0.000 0.500 [2 per cell]
7 Ni 0.000 0.251 0.249 [8 per cell]
8 Ni 0.000 0.500 0.000 [2 per cell]
9 Ni 0.000 0.500 0.500 [2 per cell]
10 Ni 0.247 0.375 0.124 [16 per cell]
11 Ni 0.247 0.376 0.374 [16 per cell]

***

# 6
This record from Alexandria describes TaAl2Ni9 after structural relaxation. The functional is PBEsol.

* E_tot: -6.80 eV per atom
* total magnetization: 0.00 μB/f.u.
* calculated volume: 11.2 Å³/atom
* energy of formation from the pure elements: -0.457 eV/atom

a b c (Å): 3.566 3.566 10.558
angles (deg): 90.00 90.00 90.00
Space group P4/mmm (No. 123)
One atom of each set of equivalent atoms:
1 Ta 0.000 0.000 0.000 [1 per cell]
2 Al 0.000 0.000 0.339 [2 per cell]
3 Ni 0.000 0.500 0.171 [4 per cell]
4 Ni 0.000 0.500 0.500 [2 per cell]
5 Ni 0.500 0.500 0.000 [1 per cell]
6 Ni 0.500 0.500 0.336 [2 per cell]

***

Question: What is the total magnetization in the fifth record?
Answer: 0.00 μB/f.u.

***

Question: Which value of E_tot does entry 6 give?
Answer: -6.80 eV per atom

***

Question: total magnetization of number 1 (Al6SiNi)?
Answer: 0.00 μB/f.u.